[1]
Compound: SbHPd6
Source: Alexandria
Functional: PBE
Structure: relaxed

The structure in POSCAR format:
```
SbHPd6
1.0
6.392 0.000 0.000
0.000 7.184 0.000
-1.773 0.000 5.276
Sb H Pd
2 2 12
Cartesian
0.000 0.000 0.000 Sb
3.196 3.592 0.000 Sb
-0.886 3.592 2.638 H
2.309 0.000 2.638 H
-0.847 2.147 4.121 Pd
-0.847 5.036 4.121 Pd
0.441 0.000 2.720 Pd
0.982 3.592 2.556 Pd
2.270 1.445 1.155 Pd
2.270 5.739 1.155 Pd
2.349 1.445 4.121 Pd
2.349 5.739 4.121 Pd
3.637 3.592 2.720 Pd
4.178 0.000 2.556 Pd
5.466 2.147 1.155 Pd
5.466 5.036 1.155 Pd
```

crystal system: monoclinic



[2]
Compound: Hf5In4Sn
Source: Alexandria
Functional: PBE
Structure: relaxed

The structure in POSCAR format:
```
Hf5In4Sn
1.0
-4.593 4.593 2.906
4.593 -4.593 2.906
4.593 4.593 -2.906
Hf In Sn
5 4 1
Cartesian
0.000 0.000 0.000 Hf
3.682 1.873 0.009 Hf
2.720 -0.911 2.915 Hf
1.873 5.504 0.009 Hf
0.911 2.720 2.915 Hf
6.421 0.904 0.009 In
0.904 2.765 0.009 In
3.689 1.828 2.915 In
-1.828 3.689 2.915 In
0.000 0.000 2.907 Sn
```

crystal system: tetragonal
ΔH_f (0 K): 5.70 kcal/mol of atoms



[3]
Compound: CuAg2Pb
Source: Alexandria
Functional: PBE
Structure: relaxed

The structure in POSCAR format:
```
CuAg2Pb
1.0
7.796 0.000 0.000
0.000 7.796 0.000
0.000 0.000 5.515
Cu Ag Pb
4 8 4
Cartesian
0.000 0.000 0.000 Cu
0.000 3.898 1.379 Cu
3.898 0.000 4.136 Cu
3.898 3.898 2.757 Cu
1.598 1.949 0.689 Ag
1.949 5.496 2.068 Ag
1.949 6.197 4.826 Ag
2.299 1.949 3.447 Ag
5.496 5.847 3.447 Ag
5.847 1.598 4.826 Ag
5.847 2.299 2.068 Ag
6.197 5.847 0.689 Ag
0.000 0.000 2.757 Pb
0.000 3.898 4.136 Pb
3.898 0.000 1.379 Pb
3.898 3.898 0.000 Pb
```

crystal system: tetragonal
ΔH_f (0 K): 6.42 kcal/mol of atoms



[4]
Compound: Tb2Co3CuGe4
Source: Alexandria
Functional: PBE
Structure: relaxed

The structure in POSCAR format:
```
Tb2Co3CuGe4
1.0
4.083 0.000 0.000
0.000 4.083 0.000
0.000 0.000 9.758
Tb Co Cu Ge
2 3 1 4
Cartesian
0.000 2.042 2.381 Tb
2.042 0.000 7.377 Tb
0.000 2.042 8.547 Co
2.042 0.000 1.212 Co
2.042 2.042 4.879 Co
0.000 0.000 4.879 Cu
0.000 0.000 0.000 Ge
0.000 2.042 6.228 Ge
2.042 0.000 3.530 Ge
2.042 2.042 0.000 Ge
```

crystal system: tetragonal
ΔH_f (0 K): -12.47 kcal/mol of atoms



Number 1: total magnetic moment 0.000 μB/f.u., final energy -4.991 eV per atom. Number 2: total magnetic moment 0.000 μB/f.u., final energy -6.225 eV per atom. Number 3: total magnetic moment 0.000 μB/f.u., final energy -3.099 eV per atom. Number 4: total magnetic moment 0.853 μB/f.u., final energy -5.855 eV per atom.